Below is crystalline Ba2DyNiO5 at its relaxed geometry, with properties calculated at the PBE with a Hubbard U level.

Structure (CIF):
```
data_Ba2DyNiO5
_cell_length_a 3.543
_cell_length_b 15.258
_cell_length_c 11.283
_cell_angle_alpha 90.00
_cell_angle_beta 90.00
_cell_angle_gamma 90.00
_space_group_name_H-M_alt 'C m c 21'
_space_group_IT_number 36
loop_
_space_group_symop_operation_xyz
'x,y,z'
'-x,-y,z+1/2'
'-x,y,z'
'x,-y,z+1/2'
'x+1/2,y+1/2,z'
'-x+1/2,-y+1/2,z+1/2'
'-x+1/2,y+1/2,z'
'x+1/2,-y+1/2,z+1/2'
loop_
_atom_site_label
_atom_site_type_symbol
_atom_site_fract_x
_atom_site_fract_y
_atom_site_fract_z
Ba1 Ba 0.000 0.112 0.000
Ba2 Ba 0.000 0.136 0.653
Dy1 Dy 0.000 0.198 0.352
Ni1 Ni 0.000 0.452 0.755
O1 O 0.000 0.038 0.327
O2 O 0.000 0.296 0.979
O3 O 0.000 0.328 0.716
O4 O 0.000 0.339 0.330
O5 O 0.000 0.496 0.111
```

E in eV for the cell shown: -225.8